(1)
# YSc2Co

A geometry-optimized YSc2Co structure (PBE, Alexandria via LeMat-Bulk).

formation energy from the elements: -73 kJ/mol of formula units
volume: 353.2 Å³/cell
energy: -6.749 eV per atom
space group: Pnma

a = 5.977 Å, b = 6.652 Å, c = 8.883 Å
α = 90.00°, β = 90.00°, γ = 90.00°
Sites, in units of the cell vectors:
Y 0.629 0.535 0.250
Y 0.871 0.035 0.250
Y 0.371 0.465 0.750
Y 0.129 0.965 0.750
Sc 0.172 0.672 0.067
Sc 0.328 0.172 0.433
Sc 0.828 0.328 0.567
Sc 0.672 0.828 0.933
Sc 0.828 0.328 0.933
Sc 0.672 0.828 0.567
Sc 0.172 0.672 0.433
Sc 0.328 0.172 0.067
Co 0.074 0.391 0.250
Co 0.426 0.891 0.250
Co 0.926 0.609 0.750
Co 0.574 0.109 0.750

(2)
# YSc2Co2

A geometry-optimized YSc2Co2 structure (PBE, Alexandria via LeMat-Bulk).

formation energy from the elements: -30 kJ/mol of formula units
volume: 179.7 Å³/cell
energy: -6.730 eV per atom
space group: P4/mbm

a = 7.731 Å, b = 7.731 Å, c = 3.007 Å
α = 90.00°, β = 90.00°, γ = 90.00°
Sites, in units of the cell vectors:
Y 0.000 0.000 0.000
Y 0.500 0.500 0.000
Sc 0.367 0.867 0.000
Sc 0.867 0.633 0.000
Sc 0.633 0.133 0.000
Sc 0.133 0.367 0.000
Co 0.162 0.662 0.500
Co 0.662 0.838 0.500
Co 0.838 0.338 0.500
Co 0.338 0.162 0.500

(3)
# YScCo2

A geometry-optimized YScCo2 structure (PBE, Alexandria via LeMat-Bulk).

formation energy from the elements: -81 kJ/mol of formula units
volume: 68.0 Å³/cell
energy: -6.961 eV per atom
space group: Pmmm

a = 3.254 Å, b = 3.220 Å, c = 7.240 Å
α = 63.65°, β = 90.00°, γ = 90.00°
Sites, in units of the cell vectors:
Y 0.500 0.750 0.750
Sc 0.500 0.250 0.250
Co 0.000 0.978 0.022
Co 0.000 0.522 0.478

D(E_F) (computed, states/eV/f.u.): 5.22 4.60 1.88